ScInHg, relaxed, DFT PBE-GGA; space group = F-43m (216); ΔE to the lowest computed polymorph = 0.0000 eV per atom; theoretical density = 8.1 g/cm³; energy = -3.42 eV per atom
1.0
-0.434 1.532 4.434
-3.492 2.948 1.142
-3.575 -1.506 2.673
Sc Hg In
1 1 1
Direct
0.750 0.750 0.750
0.000 0.000 0.000
0.250 0.250 0.250

ScTaSe4, relaxed, DFT PBE-GGA; space group = P-6m2 (187); ΔE to the lowest computed polymorph = 0.0759 eV per atom; theoretical density = 6.3 g/cm³; energy = -6.25 eV per atom
1.0
3.487 0.000 0.000
-1.743 3.020 0.000
0.000 0.000 13.568
Se Sc Ta
4 1 1
Direct
0.333 0.667 0.134
0.333 0.667 0.866
0.000 0.000 0.377
0.000 0.000 0.623
0.000 0.000 0.000
0.333 0.667 0.500

HoSbW, relaxed, DFT PBE-GGA; space group = F-43m (216); theoretical density = 10.6 g/cm³; energy = -6.73 eV per atom
1.0
2.350 1.357 3.838
-2.350 1.357 3.838
0.000 -2.714 3.838
W Sb Ho
1 1 1
Direct
0.250 0.250 0.250
0.000 0.000 0.000
0.750 0.750 0.750

Dy2HoGe4Pd4, relaxed, DFT PBE-GGA; space group = Immm (71); theoretical density = 9.6 g/cm³; energy = -5.72 eV per atom
1.0
-2.091 3.552 7.000
2.091 -3.552 7.000
2.091 3.552 -7.000
Ho Pd Dy Ge
1 4 2 4
Direct
0.000 0.000 0.000
0.624 0.325 0.299
0.974 0.675 0.299
0.026 0.325 0.701
0.376 0.675 0.701
0.626 0.126 0.500
0.374 0.874 0.500
0.312 0.500 0.812
0.688 0.500 0.188
0.782 0.782 0.000
0.218 0.218 0.000

LaDyBr3N, relaxed, DFT PBE-GGA; space group = C2/m (12); theoretical density = 5.4 g/cm³; energy = -5.65 eV per atom
1.0
-6.768 5.439 2.921
-7.723 4.846 -0.888
-0.050 -11.344 1.781
N La Dy Br
2 2 2 6
Direct
0.424 0.424 0.344
0.576 0.576 0.656
0.581 0.581 0.454
0.419 0.419 0.546
0.864 0.864 0.214
0.136 0.136 0.786
0.229 0.229 0.631
0.331 0.331 0.991
0.771 0.771 0.369
0.968 0.968 0.774
0.032 0.032 0.226
0.669 0.669 0.009

TaSiIr, relaxed, DFT PBE-GGA; space group = P6_3/mmc (194); theoretical density = 14.7 g/cm³; energy = -9.27 eV per atom
1.0
-2.388 1.826 -3.091
-1.903 -1.674 3.488
0.418 4.970 2.614
Si Ta Ir
2 2 2
Direct
0.667 0.333 0.250
0.333 0.667 0.750
0.000 0.000 0.500
0.000 0.000 0.000
0.333 0.667 0.250
0.667 0.333 0.750

SrGdZr, relaxed, DFT PBE-GGA; space group = F-43m (216); ΔE to the lowest computed polymorph = 0.0000 eV per atom; theoretical density = 4.8 g/cm³; energy = -3.93 eV per atom
1.0
0.000 3.884 3.884
3.884 0.000 3.884
3.884 3.884 0.000
Gd Sr Zr
1 1 1
Direct
0.250 0.250 0.250
0.750 0.750 0.750
0.000 0.000 0.000

Th6Cu2Sb, relaxed, DFT PBE-GGA; space group = Pmmm (47); theoretical density = 8.7 g/cm³; energy = -5.87 eV per atom
1.0
-2.833 1.214 4.014
-2.601 -4.337 -0.523
7.934 -5.640 7.306
Th Cu Sb
6 2 1
Direct
0.000 0.500 0.815
0.500 0.500 0.500
0.500 0.500 0.000
0.500 0.000 0.812
0.500 0.000 0.188
0.000 0.500 0.185
0.500 0.500 0.714
0.500 0.500 0.286
0.000 0.000 0.000